5
Lattice="-2.535 -2.106 4.697 5.081 -1.864 1.906 0.826 5.001 2.689" Properties=species:S:1:pos:R:3 comment="Ba3AgRu, optimized geometry, DFT GGA-PBEsol" ef_ev_per_atom=0.293 pbc="T T T"
Ag 1.686 0.515 4.646
Ba -1.267 -1.053 2.348
Ba 0.413 2.501 1.344
Ba 2.540 -0.932 0.953
Ru 0.000 0.000 0.000

---

4
Lattice="-0.632 -3.953 -0.241 2.278 -0.158 -3.393 3.335 -0.671 2.270" Properties=species:S:1:pos:R:3 comment="ReHg2Rh, optimized geometry, DFT GGA-PBEsol" ef_ev_per_atom=0.779 pbc="T T T"
Hg 1.139 -0.079 -1.696
Rh -0.316 -1.977 -0.120
Re 2.490 -2.391 -0.682
Hg 1.667 -0.336 1.135

---

4
Lattice="3.336 0.000 0.000 0.000 3.336 0.000 0.000 0.000 9.770" Properties=species:S:1:pos:R:3 comment="Ba2MnMo, optimized geometry, DFT GGA-PBEsol" ef_ev_per_atom=0.704 pbc="T T T"
Ba 1.668 1.668 3.204
Mn 0.000 0.000 5.818
Mo 1.668 1.668 6.366
Ba 0.000 0.000 9.037

---

5
Lattice="-0.749 1.335 -3.682 0.953 -3.574 -1.490 -4.112 -1.255 0.382" Properties=species:S:1:pos:R:3 comment="CsBePO2, optimized geometry, DFT GGA-PBEsol" e_form_raw_ev_per_atom=-0.011 pbc="T T T"
O 0.476 -1.787 -0.745
Be 0.000 0.000 0.000
Cs -1.954 -1.747 -2.395
O -0.375 0.668 -1.841
P -2.056 -0.628 0.191

---

32
Lattice="-3.404 -3.925 3.811 -2.311 -5.535 -2.349 8.751 -4.864 2.845" Properties=species:S:1:pos:R:3 comment="ZnGaNO, optimized geometry, DFT GGA-PBEsol" e_form_raw_ev_per_atom=-0.962 pbc="T T T"
O 2.498 -8.553 4.310
N -1.433 -6.824 -0.162
Ga 2.706 -9.997 3.099
Zn -0.400 -4.719 2.862
Ga 1.297 -2.859 1.022
Zn 1.237 -8.292 0.718
Zn 5.482 -5.159 2.335
O 5.646 -8.081 4.828
N -0.018 -8.454 2.205
O 3.028 -9.325 1.366
N -0.258 -4.054 0.966
N 1.727 -6.460 0.264
O 6.152 -8.943 1.764
Zn 4.345 -7.909 1.106
Ga -4.680 -7.858 1.219
N 4.360 -10.882 3.597
Zn 2.451 -5.553 1.839
N 2.890 -3.697 1.505
O 1.249 -5.662 3.462
Ga -0.405 -10.256 2.671
N -3.146 -8.765 1.784
O 7.263 -6.164 2.985
Ga 0.128 -5.577 -0.219
Zn -3.604 -5.162 2.352
O 4.184 -6.567 2.477
Ga -1.842 -3.172 0.518
Ga -1.591 -7.593 1.673
Zn 0.656 -7.549 3.791
Ga -3.056 -5.965 -0.621
O -1.958 -6.100 2.951
N 1.244 -11.161 3.151
Zn 3.811 -7.095 4.296

---

3
Lattice="-3.474 0.626 2.239 -1.983 -3.246 1.733 0.065 -0.517 4.148" Properties=species:S:1:pos:R:3 comment="IrRhW, optimized geometry, DFT GGA-PBEsol" ef_ev_per_atom=0.590 pbc="T T T"
W -2.696 -1.569 4.060
Ir -1.348 -0.784 2.030
Rh 0.000 0.000 0.000

---

5
Lattice="-1.840 -3.333 2.431 1.239 -2.986 -3.155 3.935 -0.618 2.130" Properties=species:S:1:pos:R:3 comment="Mo3AsPd, optimized geometry, DFT GGA-PBEsol" ef_ev_per_atom=1.302 pbc="T T T"
As 0.000 0.000 0.000
Pd 1.667 -3.469 0.703
Mo -0.920 -1.666 1.216
Mo 0.619 -1.493 -1.578
Mo 1.967 -0.309 1.065

---

20
Lattice="8.106 0.000 0.000 -2.676 7.652 0.000 -2.715 -3.826 6.614" Properties=species:S:1:pos:R:3 comment="Sn7Ir2Os, optimized geometry, DFT GGA-PBEsol" ef_ev_per_atom=-0.234 pbc="T T T"
Sn -0.029 7.635 0.000
Sn 1.354 4.792 1.645
Sn -4.495 5.065 4.445
Ir 0.876 5.132 4.354
Sn -3.550 6.397 2.170
Sn 1.842 2.571 4.445
Sn -1.786 5.159 0.000
Ir 1.869 2.627 0.000
Sn 4.028 0.018 3.307
Sn 1.338 -0.949 4.943
Sn 7.228 2.509 0.000
Ir -1.840 1.306 2.260
Sn 4.053 2.877 1.671
Sn -1.362 0.966 4.969
Sn -1.363 3.844 3.307
Sn 0.896 1.239 2.170
Ir 3.568 5.021 0.000
Os -3.529 2.505 4.334
Sn 5.448 0.001 0.000
Os -0.814 6.331 2.281

---

5
Lattice="4.035 0.000 0.000 0.000 4.035 0.000 0.000 0.000 4.035" Properties=species:S:1:pos:R:3 comment="BeCoRe3, optimized geometry, DFT GGA-PBEsol" ef_ev_per_atom=0.932 pbc="T T T"
Re 0.000 2.018 0.000
Be 0.000 0.000 0.000
Re 2.018 0.000 0.000
Re 0.000 0.000 2.018
Co 2.018 2.018 2.018

---

5
Lattice="-3.428 1.517 1.850 -0.844 -3.709 1.477 2.178 0.838 3.348" Properties=species:S:1:pos:R:3 comment="IrOsCCl2, optimized geometry, DFT GGA-PBEsol" e_form_raw_ev_per_atom=2.010 pbc="T T T"
Cl 1.089 0.419 1.674
Cl -0.422 -1.855 0.739
Ir -1.047 -0.677 3.338
Os -1.714 0.758 0.925
C 0.000 0.000 0.000

---

5
Lattice="4.179 0.000 0.000 0.000 4.179 0.000 -2.089 -2.089 6.402" Properties=species:S:1:pos:R:3 comment="LaMg2Au2, optimized geometry, DFT GGA-PBEsol" ef_ev_per_atom=-0.639 pbc="T T T"
La 0.000 0.000 0.000
Mg 0.000 2.089 3.201
Au 2.089 2.089 1.399
Au 0.000 0.000 5.004
Mg 2.089 0.000 3.201

---

5
Lattice="3.722 0.000 0.000 0.000 3.722 0.000 0.000 0.000 5.638" Properties=species:S:1:pos:R:3 comment="Zn2HgBN, optimized geometry, DFT GGA-PBEsol" e_form_raw_ev_per_atom=1.003 pbc="T T T"
B 1.861 1.861 2.819
Zn 0.000 1.861 0.000
Hg 0.000 0.000 2.819
Zn 1.861 0.000 0.000
N 0.000 0.000 0.000

---

5
Lattice="7.110 0.000 0.000 0.000 7.110 0.000 0.000 0.000 7.110" Properties=species:S:1:pos:R:3 comment="CsTe3P, optimized geometry, DFT GGA-PBEsol" e_form_raw_ev_per_atom=1.678 pbc="T T T"
Te 0.000 3.555 0.000
Te 3.555 0.000 0.000
Cs 0.000 0.000 0.000
P 3.555 3.555 3.555
Te 0.000 0.000 3.555

---

10
Lattice="3.331 0.000 0.000 0.000 6.898 0.000 0.000 0.000 6.898" Properties=species:S:1:pos:R:3 comment="ZrTi2Si2, optimized geometry, DFT GGA-PBEsol" e_form_raw_ev_per_atom=-0.814 pbc="T T T"
Zr 0.000 3.449 3.449
Zr 0.000 0.000 0.000
Si 0.000 6.048 4.299
Ti 1.666 1.188 4.637
Si 0.000 4.299 0.850
Ti 1.666 4.637 5.710
Si 0.000 2.599 6.048
Ti 1.666 5.710 2.261
Si 0.000 0.850 2.599
Ti 1.666 2.261 1.188

---

4
Lattice="4.271 0.000 0.000 2.136 3.699 0.000 2.136 1.233 6.924" Properties=species:S:1:pos:R:3 comment="LiSbTe2, optimized geometry, DFT GGA-PBEsol" e_form_raw_ev_per_atom=-0.446 pbc="T T T"
Te 6.407 3.699 5.123
Te 2.136 1.233 1.801
Li 4.271 2.466 3.462
Sb 0.000 0.000 0.000

---

4
Lattice="-1.841 -2.005 0.669 1.742 -2.392 -2.374 3.555 -1.791 4.412" Properties=species:S:1:pos:R:3 comment="TlCrRe2, optimized geometry, DFT GGA-PBEsol" ef_ev_per_atom=0.659 pbc="T T T"
Re 2.847 -1.434 3.533
Tl 1.728 -3.094 1.354
Cr -0.049 -2.199 -0.853
Re 0.708 -0.357 0.879

---

4
Lattice="4.177 0.000 0.000 0.000 4.177 0.000 -2.089 -2.089 4.418" Properties=species:S:1:pos:R:3 comment="Zr2CdW, optimized geometry, DFT GGA-PBEsol" ef_ev_per_atom=0.212 pbc="T T T"
Zr 2.089 0.000 2.209
Cd 2.089 2.089 0.000
W 0.000 2.089 2.209
Zr 0.000 0.000 0.000

---

12
Lattice="4.344 0.000 0.000 0.000 6.747 0.000 0.000 0.000 7.667" Properties=species:S:1:pos:R:3 comment="TmAlPd, optimized geometry, DFT GGA-PBEsol" ef_ev_per_atom=-0.906 pbc="T T T"
Tm 3.258 3.160 1.377
Tm 1.086 3.587 6.290
Pd 1.086 5.179 0.911
Pd 1.086 1.805 2.923
Tm 1.086 0.214 5.211
Al 3.258 2.405 4.308
Tm 3.258 6.533 2.456
Pd 3.258 4.941 4.744
Al 1.086 4.342 3.359
Pd 3.258 1.568 6.756
Al 1.086 0.968 0.474
Al 3.258 5.778 7.192

---

8
Lattice="-0.417 4.596 -2.715 -5.225 0.204 1.149 3.884 0.272 5.143" Properties=species:S:1:pos:R:3 comment="ZnSiP2, optimized geometry, DFT GGA-PBEsol" e_form_raw_ev_per_atom=-0.301 pbc="T T T"
Si -2.821 2.400 -0.783
P 2.131 0.807 3.678
P -0.536 3.201 2.862
Si 0.323 3.634 0.823
P -1.347 4.098 -0.619
Zn -2.081 1.438 2.755
P -3.764 2.038 1.233
Zn 0.000 0.000 0.000

---

3
Lattice="-2.048 2.489 -3.445 -4.014 -6.417 -2.251 -3.079 4.901 5.372" Properties=species:S:1:pos:R:3 comment="Rb, optimized geometry, DFT GGA-PBEsol" ef_ev_per_atom=0.009 pbc="T T T"
Rb -4.415 2.373 1.109
Rb -4.727 -1.400 -1.432
Rb 0.000 0.000 0.000

---

4
Lattice="-0.135 -0.019 2.861 1.044 -2.452 -1.050 8.950 3.617 0.448" Properties=species:S:1:pos:R:3 comment="ZrW, optimized geometry, DFT GGA-PBEsol" ef_ev_per_atom=0.131 pbc="T T T"
W 8.149 2.601 2.283
Zr 3.317 0.649 2.041
W 1.709 -1.456 -0.024
Zr 6.541 0.497 0.218

---

4
Lattice="-3.110 0.945 -2.604 -3.313 -2.507 -0.283 -3.680 1.233 1.511" Properties=species:S:1:pos:R:3 comment="Fe2AsW, optimized geometry, DFT GGA-PBEsol" ef_ev_per_atom=0.221 pbc="T T T"
W -2.526 -0.082 -0.344
As -5.052 -0.165 -0.688
Fe -7.577 -0.247 -1.032
Fe 0.000 0.000 0.000

---

4
Lattice="2.651 0.000 0.000 -1.325 4.376 0.001 0.000 -0.797 4.521" Properties=species:S:1:pos:R:3 comment="NiRu2Pt, optimized geometry, DFT GGA-PBEsol" ef_ev_per_atom=0.056 pbc="T T T"
Ni 1.325 -0.387 2.268
Ru 0.000 1.580 3.422
Ru 1.325 3.574 4.432
Pt 1.325 1.991 1.182

---

4
Lattice="-2.642 0.653 1.590 1.121 -2.818 3.018 2.990 4.522 3.111" Properties=species:S:1:pos:R:3 comment="Zr2TlCd, optimized geometry, DFT GGA-PBEsol" ef_ev_per_atom=-0.179 pbc="T T T"
Tl 0.734 1.179 3.860
Zr 2.252 3.405 2.343
Zr 0.738 1.116 0.768
Cd -0.761 -1.082 2.304

---

5
Lattice="4.050 0.000 0.000 0.000 4.050 0.000 0.000 0.000 5.892" Properties=species:S:1:pos:R:3 comment="MnAs2BrO, optimized geometry, DFT GGA-PBEsol" e_form_raw_ev_per_atom=0.319 pbc="T T T"
Mn 2.025 2.025 2.946
As 0.000 2.025 0.000
As 2.025 0.000 0.000
O 0.000 0.000 0.000
Br 0.000 0.000 2.946

---

3
Lattice="3.190 0.000 0.000 0.000 4.828 0.000 0.000 -2.414 4.181" Properties=species:S:1:pos:R:3 comment="MgCdHg, optimized geometry, DFT GGA-PBEsol" ef_ev_per_atom=-0.129 pbc="T T T"
Hg 2.645 0.000 2.787
Cd 2.670 0.000 0.000
Mg 1.064 2.414 1.394

---

4
Lattice="2.515 0.000 0.000 0.000 4.395 0.003 -1.257 -0.968 4.304" Properties=species:S:1:pos:R:3 comment="LiReNi2, optimized geometry, DFT GGA-PBEsol" ef_ev_per_atom=0.049 pbc="T T T"
Re 0.000 1.013 4.140
Ni 1.257 0.842 2.023
Li 0.000 3.044 2.275
Ni 0.000 4.152 0.176